Record 1
Here is a crystal of AlAu3 relaxed with PBEsol from Alexandria. Energies are from meta-GGA SCAN.

a b c (Å): 3.587 4.222 5.135
angles (deg): 114.28 110.44 90.00
Sites, in units of the cell vectors:
Au1 0.500 0.500 0.000
Au2 0.725 0.225 0.449
Au3 0.275 0.775 0.551
Al1 0.000 0.000 0.000

**Formation energy**: -331 meV/atom
**Final energy**: -54.14 eV per atom
**Magnetic moment**: 0.0 μB per cell

***

Record 2
Here is a crystal of Li2MnSiO4 relaxed with PBEsol from Alexandria. Energies are from meta-GGA SCAN.

a b c (Å): 4.968 5.355 6.257
angles (deg): 90.00 90.00 90.00
Sites, in units of the cell vectors:
Li1 0.557 0.331 0.749
Li2 0.557 0.331 0.251
Li3 0.057 0.669 0.249
Li4 0.057 0.669 0.751
Mn1 0.558 0.830 0.000
Mn2 0.058 0.170 0.500
Si1 0.050 0.176 0.000
Si2 0.550 0.824 0.500
O1 0.719 0.181 0.000
O2 0.219 0.819 0.500
O3 0.150 0.881 0.000
O4 0.650 0.119 0.500
O5 0.163 0.320 0.785
O6 0.663 0.680 0.285
O7 0.663 0.680 0.715
O8 0.163 0.320 0.215

**Relative energy among the computed polymorphs**: 0.00 eV/f.u.
**Final energy**: -9.84 eV per atom
**Magnetic moment**: 10.0 μB per cell

***

Record 3
Here is a crystal of SiSe2O relaxed with PBEsol from Alexandria. Energies are from meta-GGA SCAN.

a b c (Å): 2.865 2.865 8.599
angles (deg): 80.41 80.41 60.00
Sites, in units of the cell vectors:
Si1 0.000 0.000 0.000
O1 0.500 0.500 0.500
Se1 0.901 0.901 0.297
Se2 0.099 0.099 0.703

**Relative energy among the computed polymorphs**: 1.44 eV/f.u.
**Final energy**: -13.43 eV per atom
**Magnetic moment**: 0.0 μB per cell

***

Record 4
Here is a crystal of FeTeP relaxed with PBEsol from Alexandria. Energies are from meta-GGA SCAN.

a b c (Å): 4.116 4.116 4.116
angles (deg): 60.00 60.00 60.00
Sites, in units of the cell vectors:
Fe1 0.750 0.750 0.750
P1 0.000 0.000 0.000
Te1 0.500 0.500 0.500

**Final energy**: -21.72 eV per atom
**Magnetic moment**: 0.0 μB per cell

***

Record 5
Here is a crystal of La2AlReOs relaxed with PBEsol from Alexandria. Energies are from meta-GGA SCAN.

a b c (Å): 4.653 5.521 5.521
angles (deg): 90.00 90.00 90.00
Sites, in units of the cell vectors:
Re1 0.500 0.000 0.000
Os1 0.000 0.000 0.000
Al1 0.500 0.500 0.500
La1 0.000 0.000 0.500
La2 0.000 0.500 0.000

**Formation energy**: 457 meV/atom
**Final energy**: -46.93 eV per atom
**Magnetic moment**: 0.3 μB per cell

***

Record 6
Here is a crystal of BeCrSe2 relaxed with PBEsol from Alexandria. Energies are from meta-GGA SCAN.

a b c (Å): 4.497 4.497 4.497
angles (deg): 60.00 60.00 60.00
Sites, in units of the cell vectors:
Cr1 0.250 0.250 0.250
Se1 0.000 0.000 0.000
Se2 0.750 0.750 0.750
Be1 0.500 0.500 0.500

**Final energy**: -15.16 eV per atom
**Magnetic moment**: 4.0 μB per cell

***

Record 7
Here is a crystal of LaGa3Pd relaxed with PBEsol from Alexandria. Energies are from meta-GGA SCAN.

a b c (Å): 4.236 4.236 6.098
angles (deg): 110.33 110.33 90.00
Sites, in units of the cell vectors:
Ga1 0.383 0.383 0.766
Ga2 0.617 0.617 0.234
Ga3 0.250 0.750 0.500
Pd1 0.750 0.250 0.500
La1 0.000 0.000 0.000

**Formation energy**: -814 meV/atom
**Final energy**: -25.80 eV per atom
**Magnetic moment**: 0.0 μB per cell

***

Record 8
Here is a crystal of CsHoZnSe3 relaxed with PBEsol from Alexandria. Energies are from meta-GGA SCAN.

a b c (Å): 4.080 8.165 10.758
angles (deg): 90.00 90.00 104.47
Sites, in units of the cell vectors:
Cs1 0.744 0.488 0.750
Cs2 0.256 0.512 0.250
Zn1 0.462 0.925 0.750
Zn2 0.538 0.075 0.250
Ho1 0.000 0.000 0.500
Ho2 0.000 0.000 0.000
Se1 0.382 0.764 0.558
Se2 0.618 0.236 0.442
Se3 0.618 0.236 0.058
Se4 0.382 0.764 0.942
Se5 0.057 0.114 0.750
Se6 0.943 0.886 0.250

**Final energy**: -28.36 eV per atom
**Magnetic moment**: 0.0 μB per cell

***

Record 9
Here is a crystal of TePb relaxed with PBEsol from Alexandria. Energies are from meta-GGA SCAN.

a b c (Å): 4.417 4.417 8.509
angles (deg): 74.96 74.96 60.00
Sites, in units of the cell vectors:
Pb1 0.117 0.117 0.648
Pb2 0.883 0.883 0.352
Te1 0.615 0.615 0.155
Te2 0.385 0.385 0.845

**Final energy**: -56.75 eV per atom
**Magnetic moment**: 0.0 μB per cell

***

Record 10
Here is a crystal of Ti3CoS6 relaxed with PBEsol from Alexandria. Energies are from meta-GGA SCAN.

a b c (Å): 5.665 5.665 11.191
angles (deg): 90.00 90.00 120.00
Sites, in units of the cell vectors:
Ti1 0.000 0.000 0.500
Ti2 0.000 0.000 0.000
Ti3 0.333 0.667 0.995
Ti4 0.667 0.333 0.495
Ti5 0.667 0.333 0.005
Ti6 0.333 0.667 0.505
Co1 0.333 0.667 0.250
Co2 0.667 0.333 0.750
S1 0.008 0.669 0.366
S2 0.662 0.992 0.366
S3 0.992 0.331 0.866
S4 0.669 0.008 0.634
S5 0.331 0.338 0.366
S6 0.338 0.008 0.866
S7 0.992 0.662 0.634
S8 0.331 0.992 0.134
S9 0.669 0.662 0.866
S10 0.008 0.338 0.134
S11 0.338 0.331 0.634
S12 0.662 0.669 0.134

**Final energy**: -13.59 eV per atom
**Magnetic moment**: 0.0 μB per cell

***

Record 11
Here is a crystal of Cu2Sb2As relaxed with PBEsol from Alexandria. Energies are from meta-GGA SCAN.

a b c (Å): 4.316 4.316 6.203
angles (deg): 110.36 110.36 90.00
Sites, in units of the cell vectors:
Sb1 0.250 0.750 0.500
Sb2 0.750 0.250 0.500
As1 0.000 0.000 0.000
Cu1 0.393 0.393 0.786
Cu2 0.607 0.607 0.214

**Final energy**: -24.49 eV per atom
**Magnetic moment**: 0.0 μB per cell

***

Record 12
Here is a crystal of ZrNb2Pt relaxed with PBEsol from Alexandria. Energies are from meta-GGA SCAN.

a b c (Å): 4.610 4.610 4.610
angles (deg): 60.00 60.00 60.00
Sites, in units of the cell vectors:
Nb1 0.250 0.250 0.250
Nb2 0.750 0.750 0.750
Zr1 0.000 0.000 0.000
Pt1 0.500 0.500 0.500

**Formation energy**: -295 meV/atom
**Final energy**: -42.08 eV per atom
**Magnetic moment**: 0.0 μB per cell